A geometry-optimized PIrW structure, computed with PBE-GGA.

a b c (Å): 4.576 4.576 4.576
angles (deg): 143.93 128.37 64.59
Positions (direct):
P 0.000 0.000 0.000
Ir 0.675 0.675 0.000
W 0.329 0.329 0.000

## Properties
final energy	-8.950	eV/atom
ΔE_f	125	meV/atom
space-group type	Imm2, No. 44
M_tot	0.00	Bohr magnetons per cell